(1)
Crystalline LiPaRh4S8 at its relaxed geometry. Source: Alexandria, functional PBE.

a b c (Å): 7.268 7.268 7.138
angles (deg): 59.40 59.40 60.00
Atoms (fractional coordinates):
Rh 0.627 0.627 0.120
S 0.235 0.738 0.288
S 0.257 0.773 0.713
Rh 0.001 0.001 0.497
S 0.773 0.257 0.713
S 0.236 0.236 0.292
Rh 0.001 0.501 0.497
S 0.738 0.235 0.288
S 0.738 0.738 0.288
Pa 0.999 0.999 0.004
S 0.257 0.257 0.713
Rh 0.501 0.001 0.497
S 0.763 0.763 0.710
Li 0.374 0.374 0.877

Computed properties:
The calculation puts the energy at -84.69 eV/f.u. Its space-group type is R3m (160). Its magnetization is 2.1 μB per cell.

(2)
Crystalline Ta2MnZn at its relaxed geometry. Source: Alexandria, functional PBE.

a b c (Å): 9.474 9.474 9.474
angles (deg): 17.31 17.31 17.31
Atoms (fractional coordinates):
Ta 0.498 0.498 0.498
Zn 0.250 0.250 0.250
Ta 0.002 0.002 0.002
Mn 0.750 0.750 0.750

Computed properties:
The calculation puts the energy at -33.25 eV/f.u. Its space-group type is R-3m (166). Its magnetization is 2.4 μB per cell.

no.,mass density (Mg/m³)
1,5.70
2,12.19